Here is a relaxed Hf2Sc2Os crystal from the Alexandria database. Energies are from GGA-PBE.

Computed properties:
Its raw total energy is -8.0940 eV per atom. Its symmetry is No. 139. The value obtained for the formation enthalpy at 0 K is 3.33 eV per formula unit.

Cell: 3.628 3.628 9.117 Å, 78.52 78.52 90.00°
Positions (direct):
Sc 0.418 0.418 0.165
Hf 0.250 0.750 0.500
Sc 0.582 0.582 0.835
Os 0.000 0.000 0.000
Hf 0.750 0.250 0.500